Here is a relaxed Na2SrPaF8 crystal from Alexandria via LeMat-Bulk. Energies are from PBE.

Structure (POSCAR):
```
Na2SrPaF8
1.0
-1.506 -1.809 -5.152
-4.776 -2.154 2.153
0.487 6.913 0.544
Na Sr Pa F
2 1 1 8
Direct
0.750 0.250 0.500
0.000 0.000 0.000
0.500 0.500 0.000
0.250 0.750 0.500
0.132 0.632 0.737
0.605 0.632 0.737
0.368 0.395 0.263
0.895 0.868 0.263
0.605 0.105 0.737
0.368 0.868 0.263
0.132 0.105 0.737
0.895 0.395 0.263
```

Computed properties:
The formation energy from raw total energies is -3528 meV per atom.

***

Here is a relaxed MgPRh2 crystal from Alexandria via LeMat-Bulk. Energies are from PBE.

Structure (POSCAR):
```
MgPRh2
1.0
-3.831 -4.103 -0.882
-2.987 -2.980 3.806
1.582 5.010 -2.165
Mg P Rh
1 1 2
Direct
0.460 0.460 0.000
0.220 0.720 0.500
0.049 0.049 0.000
0.771 0.271 0.500
```

Computed properties:
As for the energy of formation: -0.517 eV per atom.

***

Here is a relaxed Tb2SmCu2 crystal from Alexandria via LeMat-Bulk. Energies are from PBE.

Structure (POSCAR):
```
Tb2SmCu2
1.0
3.518 0.000 -0.471
0.000 5.127 0.000
-0.025 0.000 13.170
Tb Sm Cu
4 2 4
Direct
0.047 0.750 0.094
0.953 0.250 0.906
0.231 0.750 0.461
0.769 0.250 0.539
0.860 0.750 0.717
0.140 0.250 0.283
0.640 0.750 0.281
0.360 0.250 0.719
0.457 0.750 0.912
0.543 0.250 0.088
```

Computed properties:
Its offset from the most stable computed form is 0.0 meV/atom. As for the energy of formation: -0.141 eV per atom.

***

Here is a relaxed TaPS4 crystal from Alexandria via LeMat-Bulk. Energies are from PBE.

Structure (POSCAR):
```
TaPS4
1.0
-4.674 1.062 0.539
1.998 -5.319 6.224
2.240 8.342 2.976
Ta P S
2 2 8
Direct
0.199 0.397 0.283
0.801 0.603 0.717
0.134 0.268 0.625
0.866 0.732 0.375
0.076 0.152 0.385
0.130 0.259 0.042
0.730 0.460 0.357
0.647 0.294 0.691
0.353 0.706 0.309
0.270 0.540 0.643
0.870 0.741 0.958
0.924 0.848 0.615
```

Computed properties:
The formation energy from raw total energies is -433 meV per atom.

***

Here is a relaxed Nd4SiSI2 crystal from Alexandria via LeMat-Bulk. Energies are from PBE.

Structure (POSCAR):
```
Nd4SiSI2
1.0
4.278 0.000 0.000
0.000 7.291 0.098
0.000 -2.598 7.671
Nd Si S I
4 1 1 2
Direct
0.500 0.224 0.188
0.500 0.776 0.812
0.000 0.264 0.808
0.000 0.736 0.192
0.500 0.500 0.000
0.000 0.000 0.000
0.500 0.000 0.500
0.000 0.500 0.500
```

Computed properties:
The formation energy from raw total energies is -1237 meV per atom.

***

Here is a relaxed Cu2AsIr crystal from Alexandria via LeMat-Bulk. Energies are from PBE.

Structure (POSCAR):
```
Cu2AsIr
1.0
-1.951 -4.198 -0.566
2.970 -3.329 1.356
-1.502 3.890 2.088
As Cu Ir
1 2 1
Direct
0.750 0.250 0.500
0.000 0.000 0.000
0.250 0.750 0.500
0.500 0.500 0.000
```

Computed properties:
As for the energy of formation: 0.079 eV per atom.

***

Here is a relaxed Ac6Ni2PtBr3 crystal from Alexandria via LeMat-Bulk. Energies are from PBE.

Structure (POSCAR):
```
Ac6Ni2PtBr3
1.0
7.573 -0.002 0.002
-3.786 6.558 0.002
-1.261 -2.184 8.235
Ac Ni Pt Br
6 2 1 3
Direct
0.936 0.596 0.807
0.724 0.724 0.193
0.064 0.404 0.193
0.596 0.936 0.807
0.276 0.276 0.807
0.404 0.064 0.193
0.333 0.667 0.000
0.667 0.333 0.000
0.000 0.000 0.000
0.169 0.831 0.500
0.831 0.169 0.500
0.500 0.500 0.500
```

Computed properties:
The formation energy from raw total energies is -1013 meV per atom.

***

Here is a relaxed ZnSbPb2 crystal from Alexandria via LeMat-Bulk. Energies are from PBE.

Structure (POSCAR):
```
ZnSbPb2
1.0
4.718 0.000 0.000
0.000 3.495 0.036
0.000 1.744 6.690
Pb Sb Zn
2 1 1
Direct
0.000 0.953 0.965
0.500 0.310 0.251
0.000 0.673 0.520
0.500 0.563 0.764
```

Computed properties:
Its offset from the most stable computed form is 12.4 meV/atom. The formation energy from raw total energies is 116 meV per atom.